## Rb2SbO (SCAN)

Data for a PBEsol-optimized structure of Rb2SbO.

It has space group I-42d (No. 122), with a = 11.513 Å, b = 11.513 Å, c = 4.423 Å, α = 90.00°, β = 90.00° and γ = 90.00°. The asymmetric unit holds Rb at (0.060, 0.250, 0.125), Sb at (0.000, 0.000, 0.500) and O at (0.000, 0.000, 0.000).

The density of states at the Fermi level comes out at 2.91 states/eV/f.u. The value obtained for the formation energy (no corrections) is -0.688 eV/atom.